Entry 1:
# SrCo3, optimized geometry, DFT GGA-PBE
data_SrCo3
_space_group_name_H-M_alt 'P m -3 n'
_space_group_IT_number 223
_space_group_name_Hall '-P 4n 2 3'
_cell_length_a 5.132
_cell_length_b 5.132
_cell_length_c 5.132
_cell_angle_alpha 90.00
_cell_angle_beta 90.00
_cell_angle_gamma 90.00
loop_
_atom_site_label
_atom_site_type_symbol
_atom_site_fract_x
_atom_site_fract_y
_atom_site_fract_z
Sr1 Sr 0.000 0.000 0.000
Co1 Co 0.000 0.250 0.500
# * density of states at the Fermi level: 1.62 states/eV per atom
# * formation enthalpy at 0 K: 0.922 eV/atom
# * electronic total energy: -4.828 eV/atom
# * total magnetization: 9.769 μB per cell

Entry 2:
# HfZr3Nb8, optimized geometry, DFT GGA-PBE
data_HfZr3Nb8
_space_group_name_H-M_alt 'R 3 m'
_space_group_IT_number 160
_space_group_name_Hall 'R 3 -2"'
_cell_length_a 5.5571
_cell_length_b 5.5571
_cell_length_c 27.2549
_cell_angle_alpha 90.00
_cell_angle_beta 90.00
_cell_angle_gamma 120.00
loop_
_atom_site_label
_atom_site_type_symbol
_atom_site_fract_x
_atom_site_fract_y
_atom_site_fract_z
Hf1 Hf 0.0000 0.0000 0.0000
Zr1 Zr 0.0000 0.0000 0.1248
Zr2 Zr 0.0000 0.0000 0.5001
Zr3 Zr 0.0000 0.0000 0.6252
Nb1 Nb 0.0000 0.0000 0.3127
Nb2 Nb 0.0000 0.0000 0.8123
Nb3 Nb 0.9996 0.4998 0.0620
Nb4 Nb 0.0005 0.5003 0.5630
# * density of states at the Fermi level: 2.01 states/eV per atom
# * formation enthalpy at 0 K: 0.033 eV/atom
# * electronic total energy: -9.646 eV/atom
# * total magnetization: 0.001 μB per cell

Entry 3:
# Er5TmTlIn2, optimized geometry, DFT GGA-PBE
data_Er5TmTlIn2
_space_group_name_H-M_alt 'I 4/m c m'
_space_group_IT_number 140
_space_group_name_Hall '-I 4 2c'
_cell_length_a 8.399
_cell_length_b 8.399
_cell_length_c 14.529
_cell_angle_alpha 90.00
_cell_angle_beta 90.00
_cell_angle_gamma 90.00
loop_
_atom_site_label
_atom_site_type_symbol
_atom_site_fract_x
_atom_site_fract_y
_atom_site_fract_z
Er1 Er 0.000 0.000 0.000
Er2 Er 0.211 0.289 0.135
Tm1 Tm 0.000 0.500 0.250
Tl1 Tl 0.000 0.000 0.250
In1 In 0.112 0.388 0.500
# * density of states at the Fermi level: 0.86 states/eV per atom
# * formation enthalpy at 0 K: -0.023 eV/atom
# * electronic total energy: -3.926 eV/atom
# * total magnetization: 0.026 μB per cell

Entry 4:
# AgN2Cl, optimized geometry, DFT GGA-PBE
data_AgN2Cl
_space_group_name_H-M_alt 'R -3 m'
_space_group_IT_number 166
_space_group_name_Hall '-R 3 2"'
_cell_length_a 3.0995
_cell_length_b 3.0995
_cell_length_c 19.2397
_cell_angle_alpha 90.00
_cell_angle_beta 90.00
_cell_angle_gamma 120.00
loop_
_atom_site_label
_atom_site_type_symbol
_atom_site_fract_x
_atom_site_fract_y
_atom_site_fract_z
Ag1 Ag 0.0000 0.0000 0.0000
N1 N 0.0000 0.0000 0.1086
Cl1 Cl 0.0000 0.0000 0.5000
# * density of states at the Fermi level: 0.46 states/eV per atom
# * electronic total energy: -3.251 eV/atom
# * raw formation energy: 2.0858 eV/atom
# * total magnetization: 0.000 μB per cell

Entry 5:
# Be4ReRh, optimized geometry, DFT GGA-PBE
data_Be4ReRh
_space_group_name_H-M_alt 'F -4 3 m'
_space_group_IT_number 216
_space_group_name_Hall 'F -4 2 3'
_cell_length_a 6.189
_cell_length_b 6.189
_cell_length_c 6.189
_cell_angle_alpha 90.00
_cell_angle_beta 90.00
_cell_angle_gamma 90.00
loop_
_atom_site_label
_atom_site_type_symbol
_atom_site_fract_x
_atom_site_fract_y
_atom_site_fract_z
Be1 Be 0.122 0.122 0.378
Re1 Re 0.250 0.250 0.750
Rh1 Rh 0.000 0.000 0.000
# * density of states at the Fermi level: 0.83 states/eV per atom
# * formation enthalpy at 0 K: -0.284 eV/atom
# * electronic total energy: -6.068 eV/atom
# * total magnetization: 1.701 μB per cell

Entry 6:
# PmNd2Rh, optimized geometry, DFT GGA-PBE
data_PmNd2Rh
_space_group_name_H-M_alt 'P 4/m m m'
_space_group_IT_number 123
_space_group_name_Hall '-P 4 2'
_cell_length_a 3.620
_cell_length_b 3.620
_cell_length_c 8.849
_cell_angle_alpha 90.00
_cell_angle_beta 90.00
_cell_angle_gamma 90.00
loop_
_atom_site_label
_atom_site_type_symbol
_atom_site_fract_x
_atom_site_fract_y
_atom_site_fract_z
Pm1 Pm 0.000 0.000 0.000
Nd1 Nd 0.500 0.500 0.311
Rh1 Rh 0.000 0.000 0.500
# * density of states at the Fermi level: 1.14 states/eV per atom
# * formation enthalpy at 0 K: -0.283 eV/atom
# * electronic total energy: -5.692 eV/atom
# * total magnetization: 0.000 μB per cell

Entry 7:
# BaTe2W, optimized geometry, DFT GGA-PBE
data_BaTe2W
_space_group_name_H-M_alt 'C 1 m 1'
_space_group_IT_number 8
_space_group_name_Hall 'C -2y'
_cell_length_a 13.286
_cell_length_b 3.688
_cell_length_c 5.755
_cell_angle_alpha 90.00
_cell_angle_beta 113.81
_cell_angle_gamma 90.00
loop_
_atom_site_label
_atom_site_type_symbol
_atom_site_fract_x
_atom_site_fract_y
_atom_site_fract_z
Ba1 Ba 0.000 0.000 0.000
Te1 Te 0.189 0.000 0.669
Te2 Te 0.399 0.000 0.406
W1 W 0.246 0.500 0.405
# * density of states at the Fermi level: 0.76 states/eV per atom
# * electronic total energy: -5.295 eV/atom
# * raw formation energy: -0.0051 eV/atom
# * total magnetization: 0.000 μB per cell

Entry 8:
# LaVN3, optimized geometry, DFT GGA-PBE
data_LaVN3
_space_group_name_H-M_alt 'P 1 21/m 1'
_space_group_IT_number 11
_space_group_name_Hall '-P 2yb'
_cell_length_a 5.997
_cell_length_b 4.614
_cell_length_c 6.053
_cell_angle_alpha 90.00
_cell_angle_beta 119.11
_cell_angle_gamma 90.00
loop_
_atom_site_label
_atom_site_type_symbol
_atom_site_fract_x
_atom_site_fract_y
_atom_site_fract_z
La1 La 0.190 0.250 0.358
V1 V 0.368 0.250 0.932
N1 N 0.040 0.250 0.740
N2 N 0.484 0.503 0.223
# * density of states at the Fermi level: 0.23 states/eV per atom
# * electronic total energy: -8.647 eV/atom
# * raw formation energy: -0.8428 eV/atom
# * total magnetization: 0.000 μB per cell

Entry 9:
# KGaC, optimized geometry, DFT GGA-PBE
data_KGaC
_space_group_name_H-M_alt 'P 1 2/m 1'
_space_group_IT_number 10
_space_group_name_Hall '-P 2y'
_cell_length_a 5.332
_cell_length_b 4.416
_cell_length_c 6.635
_cell_angle_alpha 90.00
_cell_angle_beta 113.54
_cell_angle_gamma 90.00
loop_
_atom_site_label
_atom_site_type_symbol
_atom_site_fract_x
_atom_site_fract_y
_atom_site_fract_z
K1 K 0.142 0.000 0.284
Ga1 Ga 0.386 0.500 0.773
C1 C 0.500 0.152 0.000
# * density of states at the Fermi level: 0.23 states/eV per atom
# * formation enthalpy at 0 K: 0.300 eV/atom
# * electronic total energy: -4.150 eV/atom
# * total magnetization: 0.000 μB per cell

Entry 10:
# MnCuI3, optimized geometry, DFT GGA-PBE
data_MnCuI3
_space_group_name_H-M_alt 'P m -3 m'
_space_group_IT_number 221
_space_group_name_Hall '-P 4 2 3'
_cell_length_a 5.599
_cell_length_b 5.599
_cell_length_c 5.599
_cell_angle_alpha 90.00
_cell_angle_beta 90.00
_cell_angle_gamma 90.00
loop_
_atom_site_label
_atom_site_type_symbol
_atom_site_fract_x
_atom_site_fract_y
_atom_site_fract_z
Mn1 Mn 0.000 0.000 0.000
Cu1 Cu 0.500 0.500 0.500
I1 I 0.000 0.000 0.500
# * density of states at the Fermi level: 0.32 states/eV per atom
# * electronic total energy: -3.260 eV/atom
# * raw formation energy: 0.3232 eV/atom
# * total magnetization: 4.781 μB per cell

Entry 11:
# GdThIr4, optimized geometry, DFT GGA-PBE
data_GdThIr4
_space_group_name_H-M_alt 'F -4 3 m'
_space_group_IT_number 216
_space_group_name_Hall 'F -4 2 3'
_cell_length_a 7.667
_cell_length_b 7.667
_cell_length_c 7.667
_cell_angle_alpha 90.00
_cell_angle_beta 90.00
_cell_angle_gamma 90.00
loop_
_atom_site_label
_atom_site_type_symbol
_atom_site_fract_x
_atom_site_fract_y
_atom_site_fract_z
Gd1 Gd 0.000 0.000 0.000
Th1 Th 0.250 0.250 0.250
Ir1 Ir 0.125 0.125 0.625
# * density of states at the Fermi level: 0.65 states/eV per atom
# * formation enthalpy at 0 K: -0.804 eV/atom
# * electronic total energy: -10.295 eV/atom
# * total magnetization: 27.977 μB per cell

Entry 12:
# ZrPtN2O, optimized geometry, DFT GGA-PBE
data_ZrPtN2O
_space_group_name_H-M_alt 'P 4/m m m'
_space_group_IT_number 123
_space_group_name_Hall '-P 4 2'
_cell_length_a 3.928
_cell_length_b 3.928
_cell_length_c 3.936
_cell_angle_alpha 90.00
_cell_angle_beta 90.00
_cell_angle_gamma 90.00
loop_
_atom_site_label
_atom_site_type_symbol
_atom_site_fract_x
_atom_site_fract_y
_atom_site_fract_z
Zr1 Zr 0.000 0.000 0.000
Pt1 Pt 0.500 0.500 0.500
N1 N 0.000 0.500 0.500
O1 O 0.500 0.500 0.000
# * density of states at the Fermi level: 0.52 states/eV per atom
# * electronic total energy: -6.945 eV/atom
# * raw formation energy: 0.2945 eV/atom
# * total magnetization: 0.000 μB per cell

Entry 13:
# Pa2Co4GeP3, optimized geometry, DFT GGA-PBE
data_Pa2Co4GeP3
_space_group_name_H-M_alt 'P -4 m 2'
_space_group_IT_number 115
_space_group_name_Hall 'P -4 -2'
_cell_length_a 3.962
_cell_length_b 3.962
_cell_length_c 9.163
_cell_angle_alpha 90.00
_cell_angle_beta 90.00
_cell_angle_gamma 90.00
loop_
_atom_site_label
_atom_site_type_symbol
_atom_site_fract_x
_atom_site_fract_y
_atom_site_fract_z
Pa1 Pa 0.000 0.500 0.245
Co1 Co 0.000 0.000 0.000
Co2 Co 0.000 0.500 0.628
Co3 Co 0.500 0.500 0.000
Ge1 Ge 0.000 0.000 0.500
P1 P 0.000 0.500 0.869
P2 P 0.500 0.500 0.500
# * density of states at the Fermi level: 0.30 states/eV per atom
# * formation enthalpy at 0 K: -0.910 eV/atom
# * electronic total energy: -7.736 eV/atom
# * total magnetization: 1.506 μB per cell

Entry 14:
# CsFePbCl6, optimized geometry, DFT GGA-PBE
data_CsFePbCl6
_space_group_name_H-M_alt 'P 3 1 2'
_space_group_IT_number 149
_space_group_name_Hall 'P 3 2'
_cell_length_a 7.0714
_cell_length_b 7.0714
_cell_length_c 7.4957
_cell_angle_alpha 90.00
_cell_angle_beta 90.00
_cell_angle_gamma 120.00
loop_
_atom_site_label
_atom_site_type_symbol
_atom_site_fract_x
_atom_site_fract_y
_atom_site_fract_z
Cs1 Cs 0.0000 0.0000 0.0000
Fe1 Fe 0.6667 0.3333 0.5000
Pb1 Pb 0.3333 0.6667 0.5000
Cl1 Cl 0.3976 0.0487 0.6905
# * electronic total energy: -3.852 eV/atom
# * raw formation energy: -1.1739 eV/atom
# * total magnetization: 4.958 μB per cell

Entry 15:
# MnAs2N, optimized geometry, DFT GGA-PBE
data_MnAs2N
_space_group_name_H-M_alt 'I -4 2 d'
_space_group_IT_number 122
_space_group_name_Hall 'I -4 2bw'
_cell_length_a 5.191
_cell_length_b 5.191
_cell_length_c 9.070
_cell_angle_alpha 90.00
_cell_angle_beta 90.00
_cell_angle_gamma 90.00
loop_
_atom_site_label
_atom_site_type_symbol
_atom_site_fract_x
_atom_site_fract_y
_atom_site_fract_z
Mn1 Mn 0.000 0.000 0.000
As1 As 0.217 0.250 0.625
N1 N 0.000 0.000 0.500
# * density of states at the Fermi level: 0.13 states/eV per atom
# * electronic total energy: -6.120 eV/atom
# * raw formation energy: 0.5787 eV/atom
# * total magnetization: 0.000 μB per cell

Entry 16:
# NaNpHgSb, optimized geometry, DFT GGA-PBE
data_NaNpHgSb
_space_group_name_H-M_alt 'F -4 3 m'
_space_group_IT_number 216
_space_group_name_Hall 'F -4 2 3'
_cell_length_a 7.506
_cell_length_b 7.506
_cell_length_c 7.506
_cell_angle_alpha 90.00
_cell_angle_beta 90.00
_cell_angle_gamma 90.00
loop_
_atom_site_label
_atom_site_type_symbol
_atom_site_fract_x
_atom_site_fract_y
_atom_site_fract_z
Na1 Na 0.000 0.000 0.000
Np1 Np 0.000 0.000 0.500
Hg1 Hg 0.250 0.250 0.250
Sb1 Sb 0.250 0.250 0.750
# * density of states at the Fermi level: 2.93 states/eV per atom
# * electronic total energy: -4.770 eV/atom
# * raw formation energy: -0.0993 eV/atom
# * total magnetization: 19.640 μB per cell

Entry 17:
# Rh2PbAu, optimized geometry, DFT GGA-PBE
data_Rh2PbAu
_space_group_name_H-M_alt 'P m m 2'
_space_group_IT_number 25
_space_group_name_Hall 'P 2 -2'
_cell_length_a 3.046
_cell_length_b 3.992
_cell_length_c 5.897
_cell_angle_alpha 90.00
_cell_angle_beta 90.00
_cell_angle_gamma 90.00
loop_
_atom_site_label
_atom_site_type_symbol
_atom_site_fract_x
_atom_site_fract_y
_atom_site_fract_z
Rh1 Rh 0.000 0.000 0.000
Rh2 Rh 0.500 0.500 0.237
Pb1 Pb 0.500 0.500 0.758
Au1 Au 0.000 0.000 0.459
# * density of states at the Fermi level: 1.33 states/eV per atom
# * formation enthalpy at 0 K: 0.222 eV/atom
# * electronic total energy: -5.201 eV/atom
# * total magnetization: 0.768 μB per cell

Entry 18:
# Mg3Hg5, optimized geometry, DFT GGA-PBE
data_Mg3Hg5
_space_group_name_H-M_alt 'P 4/m m m'
_space_group_IT_number 123
_space_group_name_Hall '-P 4 2'
_cell_length_a 3.320
_cell_length_b 3.320
_cell_length_c 16.088
_cell_angle_alpha 90.00
_cell_angle_beta 90.00
_cell_angle_gamma 90.00
loop_
_atom_site_label
_atom_site_type_symbol
_atom_site_fract_x
_atom_site_fract_y
_atom_site_fract_z
Mg1 Mg 0.000 0.000 0.000
Mg2 Mg 0.500 0.500 0.377
Hg1 Hg 0.000 0.000 0.260
Hg2 Hg 0.000 0.000 0.500
Hg3 Hg 0.500 0.500 0.118
# * density of states at the Fermi level: 0.25 states/eV per atom
# * formation enthalpy at 0 K: -0.144 eV/atom
# * electronic total energy: -0.930 eV/atom
# * total magnetization: 0.000 μB per cell

Entry 19:
# LiCeI2, optimized geometry, DFT GGA-PBE
data_LiCeI2
_space_group_name_H-M_alt 'R -3 m'
_space_group_IT_number 166
_space_group_name_Hall '-R 3 2"'
_cell_length_a 4.0735
_cell_length_b 4.0735
_cell_length_c 29.7526
_cell_angle_alpha 90.00
_cell_angle_beta 90.00
_cell_angle_gamma 120.00
loop_
_atom_site_label
_atom_site_type_symbol
_atom_site_fract_x
_atom_site_fract_y
_atom_site_fract_z
Li1 Li 0.0000 0.0000 0.0000
Ce1 Ce 0.0000 0.0000 0.5000
I1 I 0.0000 0.0000 0.0922
# * density of states at the Fermi level: 1.33 states/eV per atom
# * electronic total energy: -3.560 eV/atom
# * raw formation energy: -0.8230 eV/atom
# * total magnetization: 3.973 μB per cell

Entry 20:
# KAl2SiS6, optimized geometry, DFT GGA-PBE
data_KAl2SiS6
_space_group_name_H-M_alt 'C 1 2/c 1'
_space_group_IT_number 15
_space_group_name_Hall '-C 2yc'
_cell_length_a 12.565
_cell_length_b 13.205
_cell_length_c 7.550
_cell_angle_alpha 90.00
_cell_angle_beta 119.00
_cell_angle_gamma 90.00
loop_
_atom_site_label
_atom_site_type_symbol
_atom_site_fract_x
_atom_site_fract_y
_atom_site_fract_z
K1 K 0.000 0.125 0.250
Al1 Al 0.178 0.420 0.077
Si1 Si 0.000 0.189 0.750
S1 S 0.088 0.268 0.028
S2 S 0.119 0.083 0.711
S3 S 0.124 0.465 0.326
# * density of states at the Fermi level: 0.03 states/eV per atom
# * electronic total energy: -4.688 eV/atom
# * raw formation energy: -0.8108 eV/atom
# * total magnetization: 4.062 μB per cell